VASP calculation (GGA-PBE) on a relaxed DySnIrRu crystal.

Computed properties:
Uncorrected energy (eV/atom): -7.1857
Volume (Å³ per atom): 18.2
DFT formation energy (meV/atom): -500
Density of states at the Fermi level (states/eV/f.u.): 0.80
Space-group type: F-43m, No. 216

Structure (extended XYZ):
```
4
Lattice="-4.454 -0.507 1.359 -1.996 -4.238 -0.049 -0.986 -2.171 4.032" Properties=species:S:1:pos:R:3 pbc="T T T"
Sn 0.000 0.000 0.000
Ru -5.577 -5.187 4.007
Ir -1.859 -1.729 1.336
Dy -3.718 -3.458 2.671
```

---

VASP calculation (GGA-PBE) on a relaxed SrBeW crystal.

Computed properties:
Uncorrected energy (eV/atom): -4.9412
Volume (Å³ per atom): 19.0
DFT formation energy (meV/atom): 1179
Density of states at the Fermi level (states/eV/f.u.): 1.79
E above lowest polymorph (meV/atom): 361
Space-group type: P3m1, No. 156

Structure (extended XYZ):
```
3
Lattice="3.003 0.000 0.000 -1.502 2.601 0.000 0.000 0.000 7.317" Properties=species:S:1:pos:R:3 pbc="T T T"
Sr 1.502 0.867 2.402
W 0.000 1.734 5.187
Be 0.000 0.000 7.046
```

---

VASP calculation (GGA-PBE) on a relaxed Ce4Sb5C crystal.

Computed properties:
Uncorrected energy (eV/atom): -5.8093
Volume (Å³ per atom): 28.1
Density of states at the Fermi level (states/eV/f.u.): 21.25
Space-group type: C2/m, No. 12
Energy relative to the elements, uncorrected (eV per atom): -0.45

Structure (extended XYZ):
```
10
Lattice="4.190 0.000 0.000 0.000 7.870 1.942 -2.095 0.815 8.739" Properties=species:S:1:pos:R:3 pbc="T T T"
Sb 0.000 6.400 5.337
Sb 2.095 3.935 0.971
Sb 2.095 5.602 7.468
Sb 2.095 2.285 5.344
Sb 0.000 3.082 3.213
C 2.095 0.000 0.000
Ce 2.095 2.497 8.441
Ce 0.000 7.989 8.232
Ce 0.000 6.187 2.239
Ce 2.095 0.696 2.449
```

---

VASP calculation (GGA-PBE) on a relaxed HfMgZr3 crystal.

Computed properties:
Uncorrected energy (eV/atom): -7.3221
Volume (Å³ per atom): 23.2
DFT formation energy (meV/atom): 116
Density of states at the Fermi level (states/eV/f.u.): 6.79
E above lowest polymorph (meV/atom): 0
Space-group type: C2/m, No. 12

Structure (extended XYZ):
```
10
Lattice="3.011 0.000 0.619 1.171 10.253 1.937 -0.011 1.124 7.685" Properties=species:S:1:pos:R:3 pbc="T T T"
Mg 2.376 6.040 3.708
Mg 1.795 5.338 6.533
Hf 3.116 10.597 7.739
Hf 1.055 0.781 2.501
Zr 1.966 8.388 5.701
Zr 1.063 8.802 2.462
Zr 3.108 2.576 7.779
Zr 2.962 7.591 8.485
Zr 2.205 2.989 4.539
Zr 1.208 3.786 1.755
```

---

VASP calculation (GGA-PBE) on a relaxed Ac6Co2NCl3 crystal.

Computed properties:
Uncorrected energy (eV/atom): -5.3783
Volume (Å³ per atom): 28.9
Density of states at the Fermi level (states/eV/f.u.): 8.83
Space-group type: C2/m, No. 12
Energy relative to the elements, uncorrected (eV per atom): -0.98

Structure (extended XYZ):
```
12
Lattice="-2.897 2.858 -0.307 -5.009 -5.628 -5.130 -0.572 -2.426 9.950" Properties=species:S:1:pos:R:3 pbc="T T T"
Ac -7.376 -3.979 5.444
Ac -3.521 -3.140 3.996
Ac -5.975 -5.803 2.362
Ac -2.503 0.608 2.151
Ac -4.957 -2.055 0.518
Ac -1.102 -1.217 -0.931
N -1.449 1.429 -0.153
Cl -3.953 -1.385 -2.718
Cl -3.600 -0.157 5.387
Cl -4.878 -5.039 -0.874
Co -6.223 -3.066 3.053
Co -2.255 -2.130 1.460
```